NiSbMo2: relaxed, GGA-PBE.

The structure in POSCAR format:
```
NiSbMo2
1.0
1.735 -2.345 0.000
1.735 2.345 0.000
0.000 0.000 8.149
Ni Sb Mo
1 1 2
Direct
0.000 0.000 0.000
0.500 0.500 0.247
0.000 0.000 0.531
0.500 0.500 0.777
```

Its space group is No. 35. The calculation puts the formation energy without anion corrections at 0.344 eV/atom. For the volume, the calculation gives 16.6 Å³ per atom.

Ni2SbMo: relaxed, GGA-PBE.

The structure in POSCAR format:
```
Ni2SbMo
1.0
3.921 0.000 0.000
0.000 3.921 0.000
0.000 0.000 3.771
Ni Sb Mo
2 1 1
Direct
0.000 0.500 0.000
0.500 0.000 0.000
0.000 0.000 0.500
0.500 0.500 0.500
```

Its space group is No. 123. The calculation puts the formation energy without anion corrections at 0.091 eV/atom. For the volume, the calculation gives 14.5 Å³ per atom.